Version A
A relaxed SmCd11 crystal. Source: Alexandria, functional PBE.

CIF file:
```
data_SmCd11
_chemical_formula_sum 'Sm2 Cd22'
_cell_length_a 7.760
_cell_length_b 9.297
_cell_length_c 9.297
_cell_angle_alpha 79.97
_cell_angle_beta 65.33
_cell_angle_gamma 65.33
_symmetry_space_group_name_H-M 'P 1'
_symmetry_Int_Tables_number 1
loop_
_symmetry_equiv_pos_as_xyz
'x,y,z'
loop_
_atom_site_label
_atom_site_fract_x
_atom_site_fract_y
_atom_site_fract_z
_atom_site_occupancy
Cd1 0.995 0.678 0.919 1
Cd2 0.000 0.000 0.000 1
Cd3 0.875 0.750 0.250 1
Cd4 0.086 0.322 0.919 1
Cd5 0.157 0.419 0.178 1
Cd6 0.755 0.581 0.822 1
Cd7 0.995 0.919 0.678 1
Cd8 0.875 0.250 0.250 1
Cd9 0.326 0.081 0.678 1
Cd10 0.326 0.678 0.081 1
Cd11 0.424 0.419 0.822 1
Cd12 0.086 0.919 0.322 1
Cd13 0.375 0.750 0.750 1
Cd14 0.750 0.500 0.500 1
Cd15 0.157 0.178 0.419 1
Cd16 0.593 0.322 0.081 1
Cd17 0.664 0.581 0.178 1
Cd18 0.875 0.250 0.750 1
Cd19 0.755 0.822 0.581 1
Cd20 0.424 0.822 0.419 1
Cd21 0.664 0.178 0.581 1
Cd22 0.593 0.081 0.322 1
Sm1 0.500 0.000 0.000 1
Sm2 0.250 0.500 0.500 1
```

## Properties
- Volume: 23.1 Å³ per atom
- Size of the total moment: 0.0 Bohr magnetons per cell



Version B
A relaxed SmCd11 crystal. Source: Alexandria, functional PBE.

CIF file:
```
data_SmCd11
_chemical_formula_sum 'Sm3 Cd33'
_cell_length_a 9.403
_cell_length_b 9.403
_cell_length_c 9.403
_cell_angle_alpha 90.00
_cell_angle_beta 90.00
_cell_angle_gamma 90.00
_symmetry_space_group_name_H-M 'P 1'
_symmetry_Int_Tables_number 1
loop_
_symmetry_equiv_pos_as_xyz
'x,y,z'
loop_
_atom_site_label
_atom_site_fract_x
_atom_site_fract_y
_atom_site_fract_z
_atom_site_occupancy
Cd1 0.345 0.655 0.000 1
Cd2 0.000 0.345 0.655 1
Cd3 0.844 0.844 0.844 1
Cd4 0.156 0.844 0.156 1
Cd5 0.655 0.000 0.345 1
Cd6 0.500 0.265 0.265 1
Cd7 0.265 0.500 0.735 1
Cd8 0.156 0.156 0.156 1
Cd9 0.500 0.735 0.735 1
Cd10 0.735 0.735 0.500 1
Cd11 0.000 0.655 0.345 1
Cd12 0.655 0.345 0.000 1
Cd13 0.265 0.735 0.500 1
Cd14 0.500 0.735 0.265 1
Cd15 0.156 0.156 0.844 1
Cd16 0.844 0.844 0.156 1
Cd17 0.844 0.156 0.156 1
Cd18 0.265 0.265 0.500 1
Cd19 0.156 0.844 0.844 1
Cd20 0.735 0.500 0.735 1
Cd21 0.345 0.000 0.345 1
Cd22 0.345 0.345 0.000 1
Cd23 0.265 0.500 0.265 1
Cd24 0.345 0.000 0.655 1
Cd25 0.735 0.265 0.500 1
Cd26 0.655 0.000 0.655 1
Cd27 0.655 0.655 0.000 1
Cd28 0.735 0.500 0.265 1
Cd29 0.500 0.265 0.735 1
Cd30 0.000 0.655 0.655 1
Cd31 0.500 0.500 0.500 1
Cd32 0.000 0.345 0.345 1
Cd33 0.844 0.156 0.844 1
Sm1 0.000 0.000 0.500 1
Sm2 0.500 0.000 0.000 1
Sm3 0.000 0.500 0.000 1
```

## Properties
- Volume: 23.1 Å³ per atom
- Size of the total moment: 0.0 Bohr magnetons per cell



So which one wins? Going from most stable to least: version B, version A.



Version A
A relaxed Sm2Cd7 crystal. Source: Alexandria, functional PBE.

CIF file:
```
data_Sm2Cd7
_chemical_formula_sum 'Sm2 Cd7'
_cell_length_a 5.093
_cell_length_b 5.093
_cell_length_c 9.628
_cell_angle_alpha 90.00
_cell_angle_beta 90.00
_cell_angle_gamma 120.00
_symmetry_space_group_name_H-M 'P 1'
_symmetry_Int_Tables_number 1
loop_
_symmetry_equiv_pos_as_xyz
'x,y,z'
loop_
_atom_site_label
_atom_site_fract_x
_atom_site_fract_y
_atom_site_fract_z
_atom_site_occupancy
Cd1 0.000 0.000 0.655 1
Cd2 0.667 0.333 0.569 1
Cd3 0.000 0.000 0.345 1
Cd4 0.667 0.333 0.894 1
Cd5 0.000 0.000 0.000 1
Cd6 0.333 0.667 0.106 1
Cd7 0.333 0.667 0.431 1
Sm1 0.667 0.333 0.217 1
Sm2 0.333 0.667 0.783 1
```

## Properties
- Volume: 24.0 Å³ per atom
- Size of the total moment: 0.0 Bohr magnetons per cell



Version B
A relaxed Sm2Cd7 crystal. Source: Alexandria, functional PBE.

CIF file:
```
data_Sm2Cd7
_chemical_formula_sum 'Sm4 Cd14'
_cell_length_a 5.965
_cell_length_b 5.965
_cell_length_c 14.713
_cell_angle_alpha 78.30
_cell_angle_beta 78.30
_cell_angle_gamma 60.00
_symmetry_space_group_name_H-M 'P 1'
_symmetry_Int_Tables_number 1
loop_
_symmetry_equiv_pos_as_xyz
'x,y,z'
loop_
_atom_site_label
_atom_site_fract_x
_atom_site_fract_y
_atom_site_fract_z
_atom_site_occupancy
Cd1 0.616 0.616 0.663 1
Cd2 0.616 0.105 0.663 1
Cd3 0.500 0.500 0.500 1
Cd4 0.500 0.500 0.000 1
Cd5 0.722 0.722 0.833 1
Cd6 0.390 0.390 0.830 1
Cd7 0.610 0.610 0.170 1
Cd8 0.105 0.616 0.663 1
Cd9 0.000 0.500 0.000 1
Cd10 0.384 0.384 0.337 1
Cd11 0.500 0.000 0.000 1
Cd12 0.384 0.895 0.337 1
Cd13 0.895 0.384 0.337 1
Cd14 0.278 0.278 0.167 1
Sm1 0.150 0.150 0.550 1
Sm2 0.948 0.948 0.155 1
Sm3 0.052 0.052 0.845 1
Sm4 0.850 0.850 0.450 1
```

## Properties
- Volume: 24.5 Å³ per atom
- Size of the total moment: 0.0 Bohr magnetons per cell



So which one wins? Going from most stable to least: version A, version B.